(1)
Entry from Alexandria: an optimized crystal structure of BeSbW (GGA-PBE).

Geometry as extended XYZ:
```
3
Lattice="-1.597 -3.089 2.250 0.262 -3.904 -1.360 2.511 -2.691 1.900" Properties=species:S:1:pos:R:3 pbc="T T T"
Sb 0.000 0.000 0.000
W 0.588 -4.842 1.395
Be 0.881 -7.263 2.092
```

Results
E_tot: -6.030 eV/atom
ρ: 10.40 Mg/m³
spin magnetization: 0.28 μB/atom
V: 16.75 Å³ per atom



(2)
Entry from Alexandria: an optimized crystal structure of LaDy2Cd2Hg2 (GGA-PBE).

Geometry as extended XYZ:
```
7
Lattice="-0.974 -2.972 -3.876 -1.927 -4.530 0.758 -9.264 0.936 -1.591" Properties=species:S:1:pos:R:3 pbc="T T T"
La 0.000 0.000 0.000
Dy -6.112 -0.369 -1.381
Dy -6.053 -6.196 -3.328
Cd -9.208 -4.889 -3.537
Cd -2.957 -1.676 -1.172
Hg -3.747 -4.250 -2.199
Hg -8.418 -2.315 -2.510
```

Results
E_tot: -2.644 eV/atom
ρ: 9.36 Mg/m³
spin magnetization: 0.00 μB/atom
V: 27.61 Å³ per atom



(3)
Entry from Alexandria: an optimized crystal structure of SrPd5Au2 (GGA-PBE).

Geometry as extended XYZ:
```
8
Lattice="-0.344 3.974 -0.566 -6.537 1.480 0.024 -1.668 2.736 5.887" Properties=species:S:1:pos:R:3 pbc="T T T"
Sr 0.000 0.000 0.000
Pd -4.103 2.108 2.956
Pd -4.069 3.835 0.724
Pd -4.480 4.354 4.622
Pd -6.235 3.902 2.509
Pd -2.314 4.288 2.837
Au -6.528 6.146 4.105
Au -2.021 2.044 1.240
```

Results
E_tot: -4.438 eV/atom
ρ: 10.62 Mg/m³
spin magnetization: 0.00 μB/atom
V: 19.81 Å³ per atom



(4)
Entry from Alexandria: an optimized crystal structure of CdAg9Sn2 (GGA-PBE).

Geometry as extended XYZ:
```
12
Lattice="7.852 -1.080 1.700 2.526 4.125 1.202 2.031 0.130 7.093" Properties=species:S:1:pos:R:3 pbc="T T T"
Cd 7.852 -1.080 1.700
Ag 5.470 1.105 8.031
Ag 6.939 2.069 1.963
Ag 6.204 1.587 4.997
Ag 7.079 3.401 7.174
Ag 8.025 0.381 6.954
Ag 3.659 2.367 6.205
Ag 5.330 -0.226 2.821
Ag 8.750 0.808 3.789
Ag 4.384 2.794 3.040
Sn 2.779 0.511 3.955
Sn 9.630 2.663 6.039
```

Results
E_tot: -2.862 eV/atom
ρ: 9.47 Mg/m³
spin magnetization: 0.00 μB/atom
V: 19.30 Å³ per atom



(5)
Entry from Alexandria: an optimized crystal structure of La5YHo4 (GGA-PBE).

Geometry as extended XYZ:
```
10
Lattice="3.696 0.000 0.000 0.000 3.696 0.000 0.000 0.000 25.021" Properties=species:S:1:pos:R:3 pbc="T T T"
La 1.848 1.848 2.536
La 1.848 1.848 7.523
La 1.848 1.848 12.511
La 1.848 1.848 17.498
La 1.848 1.848 22.485
Y 0.000 0.000 0.000
Ho 0.000 0.000 5.027
Ho 0.000 0.000 10.015
Ho 0.000 0.000 15.006
Ho 0.000 0.000 19.994
```

Results
E_tot: -4.916 eV/atom
ρ: 7.01 Mg/m³
spin magnetization: 0.00 μB/atom
V: 34.18 Å³ per atom



(6)
Entry from Alexandria: an optimized crystal structure of CaTb2Cl8 (GGA-PBE).

Geometry as extended XYZ:
```
11
Lattice="-2.092 -1.013 3.136 -4.320 -4.904 -4.466 6.902 -8.405 -0.540" Properties=species:S:1:pos:R:3 pbc="T T T"
Ca -1.046 -0.506 1.568
Tb -0.995 -6.082 -2.628
Tb 1.485 -8.240 0.759
Cl -1.736 -4.952 -0.328
Cl 4.008 -6.929 0.436
Cl 1.422 -6.010 -0.993
Cl -3.032 -4.116 -3.352
Cl -0.931 -8.312 -0.877
Cl -3.518 -7.392 -2.305
Cl 2.226 -9.369 -1.541
Cl 3.522 -10.206 1.483
```

Results
E_tot: -4.645 eV/atom
ρ: 3.26 Mg/m³
spin magnetization: 0.00 μB/atom
V: 29.69 Å³ per atom



(7)
Entry from Alexandria: an optimized crystal structure of Re2PdW (GGA-PBE).

Geometry as extended XYZ:
```
8
Lattice="7.175 0.000 0.000 0.000 7.175 0.000 3.587 3.587 2.650" Properties=species:S:1:pos:R:3 pbc="T T T"
Re 5.514 1.794 0.663
Re 1.660 5.381 0.663
Re 5.381 5.248 1.988
Re 8.968 9.102 1.988
Pd 3.587 3.587 0.000
Pd 3.587 7.175 1.325
W 0.000 0.000 0.000
W 7.175 3.587 1.325
```

Results
E_tot: -9.833 eV/atom
ρ: 16.13 Mg/m³
spin magnetization: 0.00 μB/atom
V: 17.05 Å³ per atom



(8)
Entry from Alexandria: an optimized crystal structure of Bi2Te2O (GGA-PBE).

Geometry as extended XYZ:
```
10
Lattice="-1.343 -0.898 6.408 6.153 -2.205 0.980 1.932 5.942 1.237" Properties=species:S:1:pos:R:3 pbc="T T T"
Te 4.280 -1.879 2.339
Te 3.606 -2.327 5.543
Te 0.530 -1.224 5.050
Te 1.204 -0.776 1.846
Bi 5.239 1.096 2.947
Bi 4.582 0.642 6.154
Bi 1.503 1.743 5.679
Bi 2.160 2.197 2.472
O 0.000 0.000 0.000
O 2.405 -1.551 3.694
```

Results
E_tot: -3.874 eV/atom
ρ: 8.23 Mg/m³
spin magnetization: 0.00 μB/atom
V: 27.82 Å³ per atom